DFT (PBE) results for Cs3Ac3GaS8 after structural relaxation.

POSCAR file:
```
Cs3Ac3GaS8
1.0
-4.5568 4.7624 5.6053
1.2401 -8.4273 1.4916
7.5814 5.7806 1.2514
Cs Ac Ga S
3 3 1 8
Cartesian
0.0000 0.0000 0.0000 Cs
0.6200 -4.2137 0.7458 Cs
-1.6584 -1.8325 3.5485 Cs
1.5123 5.2715 3.4284 Ac
2.1323 1.0578 4.1742 Ac
4.4107 -1.3234 1.3715 Ac
3.7907 2.8903 0.6257 Ga
1.7614 -1.4772 2.6875 S
2.5033 3.5929 5.6609 S
-0.4047 0.6761 5.7752 S
4.6694 1.4396 2.5732 S
-1.1092 5.4207 4.9157 S
5.3739 -3.3050 3.4326 S
1.4462 2.7498 1.7723 S
2.8185 -0.6341 6.5760 S
```

Computed properties:
- SG: C2/m
- Uncorrected formation energy: -1430 meV per atom